(1)
Material: Tb5Pm12Th2
Method: DFT, PBE
State: relaxed

* energy above the most stable polymorph in this dataset: 7 meV per atom
* E_form: 0.15 eV per atom
* space group: No. 12
* DOS(E_F): 1.28 states/eV/atom
* ρ: 7.7 Mg/m³

POSCAR file:
```
Tb5Pm12Th2
1.0
8.128 -4.883 0.000
8.128 4.883 0.000
-0.070 0.000 8.152
Tb Pm Th
5 12 2
Cartesian
0.000 0.000 0.000
3.996 0.000 7.961
5.760 0.000 3.508
10.427 0.000 4.643
12.190 0.000 0.191
5.047 2.732 5.816
2.551 0.000 5.087
6.383 2.192 0.956
9.804 2.192 7.196
11.139 2.732 2.336
7.286 0.000 6.391
8.901 0.000 1.761
5.047 -2.732 5.816
6.383 -2.192 0.956
9.804 -2.192 7.196
13.636 0.000 3.065
11.139 -2.732 2.336
8.093 2.723 4.076
8.093 -2.723 4.076
```



(2)
Material: NaInH2
Method: DFT, PBE
State: relaxed

* energy above the most stable polymorph in this dataset: 174 meV per atom
* space group: No. 122
* DOS(E_F): 0.35 states/eV/atom
* ρ: 3.4 Mg/m³

POSCAR file:
```
NaInH2
1.0
-2.367 2.367 6.028
2.367 -2.367 6.028
2.367 2.367 -6.028
Na In H
2 2 4
Cartesian
0.000 0.000 0.000
0.000 2.367 3.014
2.367 0.000 3.014
0.000 0.000 6.028
1.184 -0.806 4.521
1.561 1.184 1.507
1.184 3.174 -1.507
0.806 1.184 7.535
```



(3)
Material: Rb3GaSb2
Method: DFT, PBE
State: relaxed

* space group: No. 62
* raw total energy: -2.72 eV/atom
* DOS(E_F): 0.24 states/eV/atom
* ρ: 3.6 Mg/m³

POSCAR file:
```
Rb3GaSb2
1.0
14.241 0.000 0.000
0.000 4.766 0.000
0.000 0.000 15.497
Rb Ga Sb
12 4 8
Cartesian
1.022 1.192 1.752
1.667 3.575 8.653
2.473 1.192 12.320
4.648 3.575 4.571
5.454 1.192 0.904
6.098 3.575 9.501
8.143 1.192 5.996
8.787 3.575 14.593
9.593 1.192 10.926
11.768 3.575 3.178
12.574 1.192 6.844
13.219 3.575 13.745
2.098 1.192 5.766
5.023 3.575 13.515
9.218 1.192 1.982
12.143 3.575 9.731
0.897 3.575 4.924
2.890 3.575 15.054
4.231 1.192 7.305
6.224 1.192 12.672
8.017 3.575 2.825
10.010 3.575 8.192
11.351 1.192 0.443
13.344 1.192 10.573
```